1.
DFT (PBE-GGA) results for a relaxed CdRu3S crystal.

Structure (POSCAR):
```
CdRu3S
1.0
-2.699 1.206 3.966
2.901 -2.832 2.835
2.961 3.873 0.838
Ru S Cd
3 1 1
Cartesian
-1.350 0.603 1.983
1.450 -1.416 1.417
1.481 1.936 0.419
1.581 1.123 3.820
0.000 0.000 0.000
```

Summary:
D(E_F), states/eV per cell: 7.0
Uncorrected energy, eV/atom: -4.159

2.
DFT (PBE-GGA) results for a relaxed PH4Br crystal.

Structure (POSCAR):
```
PH4Br
1.0
-2.584 4.499 3.013
-5.102 -0.906 -3.023
-1.303 -2.779 3.031
H P Br
8 2 2
Cartesian
-5.219 0.771 -0.352
-3.770 0.043 3.373
-4.229 -0.953 -1.507
-4.760 1.767 4.528
-2.487 2.785 2.668
-4.546 -1.623 1.511
-6.502 -1.970 0.352
-4.443 2.438 1.509
-4.473 0.446 -1.514
-3.214 3.148 1.504
-2.446 -0.219 1.217
-6.543 1.034 1.804
```

Summary:
D(E_F), states/eV per cell: 0.0
Uncorrected energy, eV/atom: -3.597